{"formula": "ZnNiRh2", "functional": "meta-GGA SCAN", "state": "single point on PBEsol structure", "delta_e_f_mev_per_atom": -134, "crystal_system": "tetragonal", "volume_a3_per_cell": 50, "space_group": "No. 123", "total_energy_ev_per_cell": -97.77, "cell": [[3.146, 0.000, 0.000], [0.000, 3.969, 0.503], [0.000, -0.506, 3.968]], "species": ["Ni", "Zn", "Rh", "Rh"], "fractional_positions": [[0.500, 0.500, 0.500], [0.500, 0.000, 0.000], [0.000, 0.500, 0.000], [0.000, 0.000, 0.500]]}